1.
A PBEsol-optimized structure of InSbIr2. Source: the Alexandria database, functional SCAN.

Output
energy relative to the elements, uncorrected = 90 meV/atom
spin magnetization = 0.0 μB/cell
energy relative to the lowest polymorph listed for this composition = 0 meV per atom

abc: 5.0601 5.0601 4.4156
angles: 102.31 102.31 39.22
Closest atoms and distances in Å follow each position.
Sites, in units of the cell vectors:
In1 0.0000 0.0000 0.0000  7 Ir 2.66-2.79
Sb1 0.7554 0.7554 0.3900  7 Ir 2.71-2.81
Ir1 0.2655 0.2655 0.9011  3 In 2.66-2.76, 4 Sb 2.77-2.81, 1 Ir 2.96
Ir2 0.4861 0.4861 0.4923  3 Sb 2.71-2.73, 4 In 2.79, 1 Ir 2.96

2.
A PBEsol-optimized structure of InSbIr4. Source: the Alexandria database, functional SCAN.

Output
energy relative to the elements, uncorrected = 413 meV/atom
spin magnetization = 0.0 μB/cell

abc: 5.2638 5.2638 5.2638
angles: 60.00 60.00 60.00
Closest atoms and distances in Å follow each position.
Sites, in units of the cell vectors:
In1 0.0000 0.0000 0.0000  12 Ir 3.09, 4 Sb 3.22
Sb1 0.2500 0.2500 0.2500  12 Ir 3.09, 4 In 3.22
Ir1 0.1247 0.6251 0.6251  6 Ir 2.63
Ir2 0.6251 0.1247 0.6251  6 Ir 2.63
Ir3 0.6251 0.6251 0.1247  6 Ir 2.63
Ir4 0.6251 0.6251 0.6251  6 Ir 2.63

3.
A PBEsol-optimized structure of InSbTe2Ir. Source: the Alexandria database, functional SCAN.

Output
energy relative to the elements, uncorrected = 346 meV/atom
spin magnetization = 0.0 μB/cell

abc: 5.4374 5.4374 4.9050
angles: 90.00 90.00 90.00
Closest atoms and distances in Å follow each position.
Sites, in units of the cell vectors:
In1 0.0000 0.0000 0.0000  8 Te 3.66, 4 Sb 3.84
Sb1 0.5000 0.5000 0.0000  2 Ir 2.45
Te1 0.0000 0.5000 0.5000  2 Ir 2.72
Te2 0.5000 0.0000 0.5000  2 Ir 2.72
Ir1 0.5000 0.5000 0.5000  2 Sb 2.45, 4 Te 2.72

4.
A PBEsol-optimized structure of ScInIr2. Source: the Alexandria database, functional SCAN.

Output
DFT formation energy = -2.84 eV per formula unit
spin magnetization = 0.0 μB/cell

abc: 3.1605 3.3237 6.2062
angles: 90.00 90.00 90.00
Closest atoms and distances in Å follow each position.
Sites, in units of the cell vectors:
Sc1 0.0000 0.0000 0.0000  8 Ir 2.76
In1 0.0000 0.0000 0.5000  8 Ir 2.78, 2 Sc 3.10
Ir1 0.5000 0.5000 0.2461  4 Sc 2.76, 4 In 2.78, 1 Ir 3.05
Ir2 0.5000 0.5000 0.7539  4 Sc 2.76, 4 In 2.78, 1 Ir 3.05

5.
A PBEsol-optimized structure of Sc2InIr2. Source: the Alexandria database, functional SCAN.

Output
DFT formation energy = -2.74 eV per formula unit
spin magnetization = 0.0 μB/cell

abc: 6.3508 6.3508 6.3508
angles: 141.20 141.20 56.04
Closest atoms and distances in Å follow each position.
Sites, in units of the cell vectors:
Sc1 0.2500 0.7500 0.5000  4 Ir 2.63
Sc2 0.7500 0.2500 0.5000  4 Ir 2.63
In1 0.0000 0.0000 0.0000  8 Ir 3.23, 8 Sc 3.51
Ir1 0.3897 0.3897 0.0000  1 Ir 2.47, 4 Sc 2.63
Ir2 0.6103 0.6103 0.0000  1 Ir 2.47, 4 Sc 2.63

6.
A PBEsol-optimized structure of ScInIr2. Source: the Alexandria database, functional SCAN.

Output
DFT formation energy = -3.01 eV per formula unit
spin magnetization = 0.0 μB/cell

abc: 4.3023 4.3023 3.4967
angles: 90.00 90.00 90.00
Closest atoms and distances in Å follow each position.
Sites, in units of the cell vectors:
Sc1 0.0000 0.0000 0.0000  8 Ir 2.77, 4 In 3.04
In1 0.5000 0.5000 0.0000  8 Ir 2.77, 4 Sc 3.04
Ir1 0.0000 0.5000 0.5000  4 In 2.77, 4 Sc 2.77, 4 Ir 3.04
Ir2 0.5000 0.0000 0.5000  4 In 2.77, 4 Sc 2.77, 4 Ir 3.04

7.
A PBEsol-optimized structure of InIrSe. Source: the Alexandria database, functional SCAN.

Output
energy relative to the elements, uncorrected = 59 meV/atom
spin magnetization = 0.0 μB/cell

abc: 3.5243 3.5243 5.5712
angles: 90.00 90.00 120.00
Closest atoms and distances in Å follow each position.
Sites, in units of the cell vectors:
In1 0.0000 0.0000 0.0000  3 Ir 2.77
Ir1 0.6667 0.3333 0.6631  3 Se 2.42
Se1 0.3333 0.6667 0.4265  3 Ir 2.42

8.
A PBEsol-optimized structure of InSiIr2. Source: the Alexandria database, functional SCAN.

Output
energy relative to the elements, uncorrected = -447 meV/atom
spin magnetization = 0.0 μB/cell

abc: 2.8921 2.8921 7.0596
angles: 90.00 90.00 90.00
Closest atoms and distances in Å follow each position.
Sites, in units of the cell vectors:
In1 0.0000 0.0000 0.0000  4 In 2.89, 8 Ir 2.92
Si1 0.0000 0.0000 0.5000  8 Ir 2.50
Ir1 0.5000 0.5000 0.2953  4 Si 2.50
Ir2 0.5000 0.5000 0.7047  4 Si 2.50

9.
A PBEsol-optimized structure of InSiIr. Source: the Alexandria database, functional SCAN.

Output
energy relative to the elements, uncorrected = 739 meV/atom
spin magnetization = 0.0 μB/cell

abc: 4.3213 4.3213 4.3213
angles: 60.00 60.00 60.00
Closest atoms and distances in Å follow each position.
Sites, in units of the cell vectors:
In1 0.0000 0.0000 0.0000  4 Ir 2.65, 4 Si 2.65
Si1 0.2500 0.2500 0.2500  4 In 2.65
Ir1 0.7500 0.7500 0.7500  4 In 2.65

10.
A PBEsol-optimized structure of InSi2Ir. Source: the Alexandria database, functional SCAN.

Output
energy relative to the elements, uncorrected = 27 meV/atom
spin magnetization = 0.0 μB/cell

abc: 2.9348 2.9348 7.6142
angles: 90.00 90.00 90.00
Closest atoms and distances in Å follow each position.
Sites, in units of the cell vectors:
In1 0.0000 0.0000 0.0000  4 In 2.93, 8 Si 3.08
Si1 0.5000 0.5000 0.2986  4 Ir 2.58
Si2 0.5000 0.5000 0.7014  4 Ir 2.58
Ir1 0.0000 0.0000 0.5000  8 Si 2.58

11.
A PBEsol-optimized structure of InSiIr2. Source: the Alexandria database, functional SCAN.

Output
energy relative to the elements, uncorrected = -86 meV/atom
spin magnetization = 0.0 μB/cell

abc: 4.5351 4.5351 2.9372
angles: 90.00 90.00 99.60
Closest atoms and distances in Å follow each position.
Sites, in units of the cell vectors:
In1 0.0000 0.0000 0.0000  8 Ir 2.70, 2 Si 2.93, 2 In 2.94
Si1 0.5000 0.5000 0.0000  8 Ir 2.70, 2 In 2.93, 2 Si 2.94
Ir1 0.0000 0.5000 0.5000  4 In 2.70, 4 Si 2.70, 4 Ir 2.93-2.94
Ir2 0.5000 0.0000 0.5000  4 In 2.70, 4 Si 2.70, 4 Ir 2.93-2.94

12.
A PBEsol-optimized structure of In2SiIr. Source: the Alexandria database, functional SCAN.

Output
energy relative to the elements, uncorrected = 319 meV/atom
spin magnetization = 0.0 μB/cell

abc: 3.6331 3.6331 5.3745
angles: 90.00 90.00 90.00
Closest atoms and distances in Å follow each position.
Sites, in units of the cell vectors:
In1 0.0000 0.0000 0.2468  2 In 2.65-2.72, 4 Ir 2.89, 4 Si 2.91
In2 0.0000 0.0000 0.7532  2 In 2.65-2.72, 4 Ir 2.89, 4 Si 2.91
Si1 0.5000 0.5000 0.5000  2 Ir 2.69, 8 In 2.91
Ir1 0.5000 0.5000 0.0000  2 Si 2.69, 8 In 2.89

13.
A PBEsol-optimized structure of InSi2Ir. Source: the Alexandria database, functional SCAN.

Output
energy relative to the elements, uncorrected = 538 meV/atom
spin magnetization = 0.0 μB/cell

abc: 3.0971 4.4336 4.7215
angles: 90.00 90.00 90.00
Closest atoms and distances in Å follow each position.
Sites, in units of the cell vectors:
In1 0.0000 0.0000 0.0000  4 Ir 2.70, 4 Si 2.82
Si1 0.0000 0.5000 0.5000  4 Si 2.70, 4 Ir 2.82
Si2 0.5000 0.0000 0.5000  4 Si 2.70, 4 In 2.82
Ir1 0.5000 0.5000 0.0000  4 In 2.70, 4 Si 2.82

14.
A PBEsol-optimized structure of InSiIr2. Source: the Alexandria database, functional SCAN.

Output
energy relative to the elements, uncorrected = 95 meV/atom
spin magnetization = 0.0 μB/cell

abc: 5.0462 5.0462 5.0462
angles: 136.41 136.41 63.35
Closest atoms and distances in Å follow each position.
Sites, in units of the cell vectors:
In1 0.0000 0.0000 0.0000  8 Ir 2.65-2.85, 4 Si 2.85
Si1 0.2500 0.7500 0.5000  8 Ir 2.65-2.85, 4 In 2.85
Ir1 0.5000 0.5000 0.0000  4 In 2.65, 4 Ir 2.85, 4 Si 2.85
Ir2 0.7500 0.2500 0.5000  4 Si 2.65, 4 In 2.85, 4 Ir 2.85

15.
A PBEsol-optimized structure of In2SiIr. Source: the Alexandria database, functional SCAN.

Output
energy relative to the elements, uncorrected = 326 meV/atom
spin magnetization = 0.0 μB/cell

abc: 4.8868 4.8868 3.1331
angles: 90.00 90.00 110.90
Closest atoms and distances in Å follow each position.
Sites, in units of the cell vectors:
In1 0.0000 0.5000 0.0000  2 In 2.77, 4 Ir 2.90, 4 Si 2.90
In2 0.5000 0.0000 0.0000  2 In 2.77, 4 Ir 2.90, 4 Si 2.90
Si1 0.0000 0.0000 0.5000  2 Ir 2.77, 8 In 2.90
Ir1 0.5000 0.5000 0.5000  2 Si 2.77, 8 In 2.90

16.
A PBEsol-optimized structure of InSi3Ir. Source: the Alexandria database, functional SCAN.

Output
energy relative to the elements, uncorrected = 2172 meV/atom
spin magnetization = 0.0 μB/cell

abc: 4.8126 4.8126 4.8126
angles: 90.00 90.00 90.00
Closest atoms and distances in Å follow each position.
Sites, in units of the cell vectors:
In1 0.0000 0.0000 0.0000  6 Si 2.41
Si1 0.0000 0.0000 0.5000  2 In 2.41
Si2 0.0000 0.5000 0.0000  2 In 2.41
Si3 0.5000 0.0000 0.0000  2 In 2.41
Ir1 0.5000 0.5000 0.5000  12 Si 3.40

17.
A PBEsol-optimized structure of In2SiIr. Source: the Alexandria database, functional SCAN.

Output
energy relative to the elements, uncorrected = -158 meV/atom
spin magnetization = 0.0 μB/cell

abc: 6.3071 6.3071 6.3071
angles: 37.04 37.04 37.04
Closest atoms and distances in Å follow each position.
Sites, in units of the cell vectors:
In1 0.0000 0.0000 0.0000  3 Si 2.95, 3 Ir 2.98, 3 In 3.16
In2 0.2111 0.2111 0.2111  3 Ir 2.95, 3 Si 2.98, 3 In 3.16
Si1 0.7709 0.7709 0.7709  3 Ir 2.31
Ir1 0.4404 0.4404 0.4404  3 Si 2.31

18.
A PBEsol-optimized structure of In2SiIr. Source: the Alexandria database, functional SCAN.

Output
energy relative to the elements, uncorrected = 458 meV/atom
spin magnetization = 0.0 μB/cell

abc: 4.6521 4.6521 4.6521
angles: 60.00 60.00 60.00
Closest atoms and distances in Å follow each position.
Sites, in units of the cell vectors:
In1 0.0000 0.0000 0.0000  4 Si 2.85, 4 In 2.85
In2 0.2500 0.2500 0.2500  4 In 2.85, 4 Ir 2.85
Si1 0.7500 0.7500 0.7500  4 In 2.85, 4 Ir 2.85
Ir1 0.5000 0.5000 0.5000  4 Si 2.85, 4 In 2.85

19.
A PBEsol-optimized structure of InSiIr2. Source: the Alexandria database, functional SCAN.

Output
energy relative to the elements, uncorrected = 417 meV/atom
spin magnetization = 0.0 μB/cell

abc: 4.4502 4.4502 4.4502
angles: 60.00 60.00 60.00
Closest atoms and distances in Å follow each position.
Sites, in units of the cell vectors:
In1 0.0000 0.0000 0.0000  4 Ir 2.73, 4 Si 2.73
Si1 0.2500 0.2500 0.2500  4 In 2.73, 4 Ir 2.73
Ir1 0.5000 0.5000 0.5000  4 Ir 2.73, 4 Si 2.73
Ir2 0.7500 0.7500 0.7500  4 In 2.73, 4 Ir 2.73

20.
A PBEsol-optimized structure of InSi2Ir. Source: the Alexandria database, functional SCAN.

Output
energy relative to the elements, uncorrected = 423 meV/atom
spin magnetization = 0.0 μB/cell

abc: 5.2990 5.2901 3.8363
angles: 68.88 68.63 42.48
Closest atoms and distances in Å follow each position.
Sites, in units of the cell vectors:
In1 0.0000 0.0000 0.0000  4 Si 2.65, 4 Ir 2.70-2.72
Si1 0.0000 0.5000 0.5000  2 In 2.65, 2 Ir 2.65, 4 Si 2.70-2.72
Si2 0.5000 0.0000 0.0000  2 In 2.65, 2 Ir 2.65, 4 Si 2.70-2.72
Ir1 0.5000 0.5000 0.5000  4 Si 2.65, 4 In 2.70-2.72